(1)
This record from Alexandria describes a relaxed structure of TaSnAsSe2. The functional is PBE.

Crystal system: tetragonal
Raw formation energy (eV/atom): 1.188
Density (kg/m3): 6566
Energy (eV per atom): -4.307
Excess energy over the best structure of this formula in the dataset (meV/atom): 1214

The structure in CIF format:
```
data_TaSnAsSe2
_cell_length_a 5.131
_cell_length_b 5.131
_cell_length_c 5.116
_cell_angle_alpha 90.00
_cell_angle_beta 90.00
_cell_angle_gamma 90.00
_space_group_name_H-M_alt 'P 4/m m m'
_space_group_IT_number 123
_space_group_name_Hall '-P 4 2'
loop_
_atom_site_label
_atom_site_fract_x
_atom_site_fract_y
_atom_site_fract_z
Ta1 0.000 0.000 0.000
Sn1 0.500 0.500 0.500
As1 0.500 0.500 0.000
Se1 0.000 0.500 0.500
```

(2)
This record from Alexandria describes a relaxed structure of ZrNi2Os. The functional is PBE.

Crystal system: tetragonal
Formation energy from the elements (eV per atom): -0.1865
Density (kg/m3): 11618
Energy (eV per atom): -8.022

The structure in CIF format:
```
data_ZrNi2Os
_cell_length_a 3.884
_cell_length_b 3.884
_cell_length_c 7.558
_cell_angle_alpha 90.00
_cell_angle_beta 90.00
_cell_angle_gamma 90.00
_space_group_name_H-M_alt 'I 4/m m m'
_space_group_IT_number 139
_space_group_name_Hall '-I 4 2'
loop_
_atom_site_label
_atom_site_fract_x
_atom_site_fract_y
_atom_site_fract_z
Zr1 0.000 0.000 0.000
Ni1 0.000 0.500 0.250
Os1 0.000 0.000 0.500
```